Entry 1:
Material: Cd3InMo
Method: DFT, GGA-PBE
State: relaxed

a b c (Å): 5.429 5.429 5.429
angles (deg): 90.00 90.00 90.00
Sites, in units of the cell vectors:
Cd 0.000 0.000 0.500
Cd 0.000 0.500 0.000
Cd 0.500 0.000 0.000
In 0.000 0.000 0.000
Mo 0.500 0.500 0.500

Entry 2:
Material: Cr2MoSe
Method: DFT, GGA-PBE
State: relaxed

a b c (Å): 2.965 3.908 4.926
angles (deg): 90.00 90.00 90.00
Sites, in units of the cell vectors:
Cr 0.000 0.000 0.000
Cr 0.500 0.500 0.236
Mo 0.000 0.000 0.479
Se 0.500 0.500 0.745

Results
The calculation puts the uncorrected formation energy at 0.316 eV/atom.

Entry 3:
Material: Ba2NpTe4
Method: DFT, GGA-PBE
State: relaxed

a b c (Å): 8.668 13.738 4.838
angles (deg): 90.00 90.00 90.00
Sites, in units of the cell vectors:
Ba 0.087 0.181 0.000
Ba 0.413 0.681 0.000
Ba 0.587 0.319 0.000
Ba 0.913 0.819 0.000
Np 0.000 0.500 0.500
Np 0.500 0.000 0.500
Te 0.131 0.703 0.500
Te 0.218 0.448 0.000
Te 0.282 0.948 0.000
Te 0.369 0.203 0.500
Te 0.631 0.797 0.500
Te 0.718 0.052 0.000
Te 0.782 0.552 0.000
Te 0.869 0.297 0.500

Results
The calculation puts the uncorrected formation energy at -1.252 eV/atom.

Entry 4:
Material: Nd2HoPb9
Method: DFT, GGA-PBE
State: relaxed

a b c (Å): 4.916 4.916 14.718
angles (deg): 90.00 90.00 90.00
Sites, in units of the cell vectors:
Nd 0.000 0.000 0.168
Nd 0.000 0.000 0.832
Ho 0.000 0.000 0.500
Pb 0.000 0.500 0.000
Pb 0.000 0.500 0.337
Pb 0.000 0.500 0.663
Pb 0.500 0.000 0.000
Pb 0.500 0.000 0.337
Pb 0.500 0.000 0.663
Pb 0.500 0.500 0.169
Pb 0.500 0.500 0.500
Pb 0.500 0.500 0.831

Entry 5:
Material: Ca3CuAs2Pd9
Method: DFT, GGA-PBE
State: relaxed

a b c (Å): 7.472 7.472 6.430
angles (deg): 90.00 90.00 120.00
Sites, in units of the cell vectors:
Ca 0.000 0.000 0.000
Ca 0.333 0.667 0.667
Ca 0.667 0.333 0.333
Cu 0.000 0.000 0.500
As 0.333 0.667 0.163
As 0.667 0.333 0.837
Pd 0.000 0.500 0.000
Pd 0.171 0.341 0.342
Pd 0.171 0.829 0.342
Pd 0.341 0.171 0.658
Pd 0.500 0.000 0.000
Pd 0.500 0.500 0.000
Pd 0.659 0.829 0.342
Pd 0.829 0.171 0.658
Pd 0.829 0.659 0.658

Entry 6:
Material: Zr2CdSe
Method: DFT, GGA-PBE
State: relaxed

a b c (Å): 10.567 10.567 10.567
angles (deg): 156.55 156.55 33.40
Sites, in units of the cell vectors:
Zr 0.114 0.625 0.989
Zr 0.375 0.364 0.489
Zr 0.636 0.125 0.011
Zr 0.875 0.886 0.511
Cd 0.250 0.750 0.500
Cd 0.500 0.500 0.000
Se 0.000 0.000 0.000
Se 0.750 0.250 0.500

Results
The calculation puts the uncorrected formation energy at 0.013 eV/atom.

Entry 7:
Material: KTl2FeAs
Method: DFT, GGA-PBE
State: relaxed

a b c (Å): 5.989 5.989 5.620
angles (deg): 90.00 90.00 90.00
Sites, in units of the cell vectors:
K 0.000 0.000 0.000
Tl 0.000 0.500 0.000
Tl 0.500 0.000 0.000
Fe 0.500 0.500 0.500
As 0.000 0.000 0.500

Entry 8:
Material: Pr2Eu
Method: DFT, GGA-PBE
State: relaxed

a b c (Å): 6.996 6.996 6.996
angles (deg): 60.00 60.00 60.00
Sites, in units of the cell vectors:
Pr 0.000 0.000 0.000
Pr 0.000 0.000 0.500
Pr 0.000 0.500 0.000
Pr 0.500 0.000 0.000
Eu 0.375 0.375 0.375
Eu 0.625 0.625 0.625

Entry 9:
Material: CdAsS2
Method: DFT, GGA-PBE
State: relaxed

a b c (Å): 3.960 4.851 5.366
angles (deg): 91.56 90.81 109.77
Sites, in units of the cell vectors:
Cd 0.000 0.000 0.000
As 0.306 0.576 0.508
S 0.034 0.086 0.485
S 0.335 0.615 0.934

Results
The calculation puts the uncorrected formation energy at -0.157 eV/atom.

Entry 10:
Material: Na3Ho2InS6
Method: DFT, GGA-PBE
State: relaxed

a b c (Å): 6.798 6.798 7.091
angles (deg): 99.18 99.18 120.01
Sites, in units of the cell vectors:
Na 0.000 0.000 0.000
Na 0.335 0.665 0.000
Na 0.665 0.335 0.000
Ho 0.167 0.833 0.500
Ho 0.833 0.167 0.500
In 0.500 0.500 0.500
S 0.097 0.425 0.274
S 0.247 0.247 0.724
S 0.425 0.097 0.274
S 0.575 0.903 0.726
S 0.753 0.753 0.276
S 0.903 0.575 0.726

Results
The calculation puts the uncorrected formation energy at -1.504 eV/atom.

Entry 11:
Material: NpU2Se6
Method: DFT, GGA-PBE
State: relaxed

a b c (Å): 7.527 7.527 9.241
angles (deg): 124.52 124.52 41.72
Sites, in units of the cell vectors:
Np 0.000 0.000 0.000
U 0.182 0.182 0.606
U 0.818 0.818 0.394
Se 0.043 0.043 0.728
Se 0.253 0.253 0.369
Se 0.374 0.374 0.955
Se 0.626 0.626 0.045
Se 0.747 0.747 0.631
Se 0.957 0.957 0.272

Results
The calculation puts the uncorrected formation energy at -1.002 eV/atom.

Entry 12:
Material: CeSm2Bi
Method: DFT, GGA-PBE
State: relaxed

a b c (Å): 4.067 4.067 7.399
angles (deg): 90.00 90.00 90.00
Sites, in units of the cell vectors:
Ce 0.000 0.000 0.000
Sm 0.500 0.500 0.271
Sm 0.500 0.500 0.729
Bi 0.000 0.000 0.500

Entry 13:
Material: K2MgNi
Method: DFT, GGA-PBE
State: relaxed

a b c (Å): 9.421 9.421 9.421
angles (deg): 27.41 27.41 27.41
Sites, in units of the cell vectors:
K 0.000 0.000 0.000
K 0.181 0.181 0.181
Mg 0.757 0.757 0.757
Ni 0.425 0.425 0.425

Entry 14:
Material: Zr2CdHgRu
Method: DFT, GGA-PBE
State: relaxed

a b c (Å): 4.938 4.938 5.265
angles (deg): 90.00 90.00 90.00
Sites, in units of the cell vectors:
Zr 0.000 0.500 0.000
Zr 0.500 0.000 0.000
Cd 0.000 0.000 0.500
Hg 0.500 0.500 0.500
Ru 0.500 0.500 0.000

Entry 15:
Material: SmCuSi2Ni
Method: DFT, GGA-PBE
State: relaxed

a b c (Å): 5.648 5.648 5.648
angles (deg): 138.15 138.15 60.67
Sites, in units of the cell vectors:
Sm 0.000 0.000 0.000
Cu 0.750 0.250 0.500
Si 0.376 0.376 0.000
Si 0.624 0.624 0.000
Ni 0.250 0.750 0.500

Results
The calculation puts the uncorrected formation energy at -0.708 eV/atom.

Entry 16:
Material: Tb6Y3Ho2Sc
Method: DFT, GGA-PBE
State: relaxed

a b c (Å): 6.121 6.121 11.689
angles (deg): 94.99 94.99 119.95
Sites, in units of the cell vectors:
Tb 0.082 0.413 0.246
Tb 0.249 0.249 0.754
Tb 0.413 0.082 0.246
Tb 0.587 0.918 0.754
Tb 0.751 0.751 0.246
Tb 0.918 0.587 0.754
Y 0.166 0.834 0.500
Y 0.500 0.500 0.500
Y 0.834 0.166 0.500
Ho 0.333 0.667 0.000
Ho 0.667 0.333 0.000
Sc 0.000 0.000 0.000

Entry 17:
Material: Pr2Tm3Pt4
Method: DFT, GGA-PBE
State: relaxed

a b c (Å): 7.604 7.641 7.818
angles (deg): 90.00 109.59 90.00
Sites, in units of the cell vectors:
Pr 0.195 0.176 0.080
Pr 0.195 0.324 0.580
Pr 0.805 0.676 0.420
Pr 0.805 0.824 0.920
Tm 0.246 0.662 0.248
Tm 0.246 0.838 0.748
Tm 0.500 0.000 0.500
Tm 0.500 0.500 0.000
Tm 0.754 0.162 0.252
Tm 0.754 0.338 0.752
Pt 0.092 0.541 0.864
Pt 0.092 0.959 0.364
Pt 0.500 0.135 0.872
Pt 0.500 0.365 0.372
Pt 0.500 0.635 0.628
Pt 0.500 0.865 0.128
Pt 0.908 0.041 0.636
Pt 0.908 0.459 0.136

Entry 18:
Material: LaPrGe
Method: DFT, GGA-PBE
State: relaxed

a b c (Å): 4.836 4.836 4.394
angles (deg): 90.00 90.00 120.00
Sites, in units of the cell vectors:
La 0.000 0.000 0.000
Pr 0.333 0.667 0.441
Ge 0.667 0.333 0.670

Entry 19:
Material: ZrOs3Rh
Method: DFT, GGA-PBE
State: relaxed

a b c (Å): 4.654 4.654 4.654
angles (deg): 90.00 90.00 90.00
Sites, in units of the cell vectors:
Zr 0.000 0.000 0.000
Os 0.000 0.500 0.500
Os 0.500 0.000 0.500
Os 0.500 0.500 0.000
Rh 0.500 0.500 0.500

Entry 20:
Material: Li2ZrHIr
Method: DFT, GGA-PBE
State: relaxed

a b c (Å): 3.771 3.771 4.643
angles (deg): 90.00 90.00 90.00
Sites, in units of the cell vectors:
Li 0.000 0.500 0.000
Li 0.500 0.000 0.000
Zr 0.000 0.000 0.500
H 0.000 0.000 0.000
Ir 0.500 0.500 0.500

| no. | DOS at the Fermi energy (states/eV per atom) | total energy (eV per cell) |
| --- | --- | --- |
| 1 | 0.4080 | -10.2 |
| 2 | 0.7853 | -32.3 |
| 3 | 0.7425 | -76.2 |
| 4 | 0.4863 | -51.5 |
| 5 | 0.6424 | -71.7 |
| 6 | 1.2320 | -42.9 |
| 7 | 2.0311 | -11.9 |
| 8 | 3.6900 | -38.5 |
| 9 | 0.1736 | -14.4 |
| 10 | 0.0000 | -58.7 |
| 11 | 2.2932 | -65.4 |
| 12 | 1.7653 | -20.6 |
| 13 | 0.4904 | -8.4 |
| 14 | 0.8568 | -26.1 |
| 15 | 0.5058 | -29.0 |
| 16 | 1.3992 | -62.3 |
| 17 | 0.6108 | -115.4 |
| 18 | 0.6194 | -15.6 |
| 19 | 1.6983 | -40.5 |
| 20 | 0.6573 | -26.5 |